Entry 1:
Computed, not measured: a relaxed CsCr crystal at the PBE level of DFT.

Offset from the most stable computed form ... 45.0 kJ/mol of atoms
Energy relative to the elements ... 1.43 eV/atom

Lattice parameters (Å, degrees): 7.999 7.999 7.474 90.00 90.00 90.00
Space group P4_2/mnm (No. 136)
Asymmetric unit:
Cs 0.178 0.178 0.000
Cr 0.076 0.076 0.500

***

Entry 2:
Computed, not measured: a relaxed Ho9Tm4In11 crystal at the PBE level of DFT.

Energy relative to the elements ... -0.38 eV/atom

Lattice parameters (Å, degrees): 15.788 23.143 3.482 90.00 90.00 90.00
Space group Cmmm (No. 65)
Asymmetric unit:
Ho 0.000 0.000 0.000
Ho 0.109 0.405 0.000
Ho 0.111 0.224 0.000
Tm 0.171 0.082 0.000
In 0.000 0.121 0.500
In 0.000 0.313 0.500
In 0.000 0.500 0.500
In 0.209 0.500 0.500
In 0.227 0.317 0.500

***

Entry 3:
Computed, not measured: a relaxed ZrMoAu2 crystal at the PBE level of DFT.

Offset from the most stable computed form ... 19.7 kJ/mol of atoms
Energy relative to the elements ... 0.07 eV/atom

Lattice parameters (Å, degrees): 6.681 6.681 6.681 90.00 90.00 90.00
Space group Fm-3m (No. 225)
Asymmetric unit:
Zr 0.000 0.000 0.000
Mo 0.000 0.000 0.500
Au 0.250 0.250 0.250

***

Entry 4:
Computed, not measured: a relaxed Sr6CuAg2 crystal at the PBE level of DFT.

Energy relative to the elements ... -0.14 eV/atom

Lattice parameters (Å, degrees): 14.389 4.401 11.271 90.00 92.61 90.00
Space group C2/m (No. 12)
Asymmetric unit:
Sr 0.083 0.000 0.252
Sr 0.140 0.500 0.944
Sr 0.141 0.500 0.578
Cu 0.000 0.000 0.500
Ag 0.246 0.000 0.777

***

Entry 5:
Computed, not measured: a relaxed TaRe2Os2 crystal at the PBE level of DFT.

Offset from the most stable computed form ... 42.2 kJ/mol of atoms
Energy relative to the elements ... 0.50 eV/atom

Lattice parameters (Å, degrees): 3.937 3.937 11.177 90.00 90.00 90.00
Space group I4/mmm (No. 139)
Asymmetric unit:
Ta 0.000 0.000 0.000
Re 0.000 0.000 0.394
Os 0.000 0.500 0.250

***

Entry 6:
Computed, not measured: a relaxed KNbH2Cl8 crystal at the PBE level of DFT.

Lattice parameters (Å, degrees): 6.864 7.263 7.462 91.71 94.06 99.84
Space group P-1 (No. 2)
Asymmetric unit:
K 0.000 0.000 0.000
Nb 0.500 0.500 0.000
H 0.338 0.820 0.673
Cl 0.174 0.877 0.620
Cl 0.206 0.390 0.815
Cl 0.345 0.732 0.135
Cl 0.386 0.285 0.227

***

Energy (eV per cell)
-30.4 -196.6 -102.6 -42.3 -113.5 -46.3